# 1
Entry from Alexandria via LeMat-Bulk: a relaxed HPtPb2Br crystal (GGA-PBE).

Summary:
- electronic total energy (eV per atom) = -3.92
- density of states at the Fermi level (states/eV per cell) = 1.52
- SG = P4/mmm (123)

Lattice parameters (Å, degrees): 5.604 5.604 3.562 90.00 90.00 90.00
Fractional coordinates of all 5 atoms:
H (0.000, 0.000, 0.000)
Pt (0.000, 0.000, 0.500)
Pb (0.000, 0.500, 0.500)
Pb (0.500, 0.000, 0.500)
Br (0.500, 0.500, 0.000)

=====

# 2
Entry from Alexandria via LeMat-Bulk: a relaxed Rb2HPbBr6 crystal (GGA-PBE).

Summary:
- electronic total energy (eV per atom) = -2.69
- density of states at the Fermi level (states/eV per cell) = 3.44
- SG = I4/mmm (139)

Lattice parameters (Å, degrees): 8.078 8.078 8.078 126.20 126.20 79.56
Fractional coordinates of all 10 atoms:
Rb (0.250, 0.750, 0.500)
Rb (0.750, 0.250, 0.500)
H (0.000, 0.000, 0.000)
Pb (0.500, 0.500, 0.000)
Br (0.226, 0.226, 0.452)
Br (0.226, 0.774, 0.000)
Br (0.268, 0.268, 0.000)
Br (0.732, 0.732, 0.000)
Br (0.774, 0.226, 0.000)
Br (0.774, 0.774, 0.548)

=====

# 3
Entry from Alexandria via LeMat-Bulk: a relaxed RbHPbBr2 crystal (GGA-PBE).

Summary:
- electronic total energy (eV per atom) = -3.08
- SG = P4/mmm (123)

Lattice parameters (Å, degrees): 6.043 6.043 4.514 90.00 90.00 90.00
Fractional coordinates of all 5 atoms:
Rb (0.000, 0.000, 0.000)
H (0.500, 0.500, 0.000)
Pb (0.500, 0.500, 0.500)
Br (0.000, 0.500, 0.500)
Br (0.500, 0.000, 0.500)

=====

# 4
Entry from Alexandria via LeMat-Bulk: a relaxed Rb2HPbBr5 crystal (GGA-PBE).

Summary:
- electronic total energy (eV per atom) = -3.06
- density of states at the Fermi level (states/eV per cell) = 0.00
- SG = Cmc2_1 (36)

Lattice parameters (Å, degrees): 10.173 10.173 13.981 90.00 90.00 153.46
Fractional coordinates of all 18 atoms:
Rb (0.126, 0.874, 0.500)
Rb (0.140, 0.860, 0.166)
Rb (0.860, 0.140, 0.666)
Rb (0.874, 0.126, 0.000)
H (0.481, 0.519, 0.199)
H (0.519, 0.481, 0.699)
Pb (0.170, 0.830, 0.835)
Pb (0.830, 0.170, 0.335)
Br (0.022, 0.978, 0.832)
Br (0.316, 0.684, 0.482)
Br (0.319, 0.681, 0.185)
Br (0.328, 0.672, 0.836)
Br (0.493, 0.507, 0.601)
Br (0.507, 0.493, 0.101)
Br (0.672, 0.328, 0.336)
Br (0.681, 0.319, 0.685)
Br (0.684, 0.316, 0.982)
Br (0.978, 0.022, 0.332)

=====

# 5
Entry from Alexandria via LeMat-Bulk: a relaxed ReHPb2Br crystal (GGA-PBE).

Summary:
- electronic total energy (eV per atom) = -4.09
- density of states at the Fermi level (states/eV per cell) = 4.35
- SG = P4/mmm (123)

Lattice parameters (Å, degrees): 5.377 5.377 4.977 90.00 90.00 90.00
Fractional coordinates of all 5 atoms:
Re (0.000, 0.000, 0.000)
H (0.500, 0.500, 0.500)
Pb (0.000, 0.500, 0.000)
Pb (0.500, 0.000, 0.000)
Br (0.000, 0.000, 0.500)

=====

# 6
Entry from Alexandria via LeMat-Bulk: a relaxed HPbSBr crystal (GGA-PBE).

Summary:
- electronic total energy (eV per atom) = -3.73
- density of states at the Fermi level (states/eV per cell) = 0.00
- SG = Cm (8)

Lattice parameters (Å, degrees): 7.954 4.607 7.113 90.00 112.20 90.00
Fractional coordinates of all 8 atoms:
H (0.000, 0.000, 0.000)
H (0.500, 0.500, 0.000)
Pb (0.304, 0.500, 0.399)
Pb (0.804, 0.000, 0.399)
S (0.072, 0.000, 0.205)
S (0.572, 0.500, 0.205)
Br (0.057, 0.500, 0.661)
Br (0.557, 0.000, 0.661)

=====

# 7
Entry from Alexandria via LeMat-Bulk: a relaxed H3PbSBr3 crystal (GGA-PBE).

Summary:
- electronic total energy (eV per atom) = -3.35
- density of states at the Fermi level (states/eV per cell) = 0.00
- SG = Cm (8)

Lattice parameters (Å, degrees): 8.207 8.207 11.468 90.38 90.38 32.54
Fractional coordinates of all 16 atoms:
H (0.000, 0.000, 0.000)
H (0.238, 0.812, 0.853)
H (0.281, 0.708, 0.408)
H (0.392, 0.392, 0.467)
H (0.708, 0.281, 0.408)
H (0.812, 0.238, 0.853)
Pb (0.708, 0.708, 0.095)
Pb (0.709, 0.709, 0.581)
S (0.441, 0.441, 0.364)
S (0.966, 0.966, 0.884)
Br (0.076, 0.076, 0.152)
Br (0.078, 0.078, 0.530)
Br (0.324, 0.324, 0.036)
Br (0.331, 0.331, 0.636)
Br (0.637, 0.637, 0.838)
Br (0.777, 0.777, 0.343)

=====

# 8
Entry from Alexandria via LeMat-Bulk: a relaxed SnHPb2Br crystal (GGA-PBE).

Summary:
- electronic total energy (eV per atom) = -2.32
- density of states at the Fermi level (states/eV per cell) = 4.48
- SG = P4/mmm (123)

Lattice parameters (Å, degrees): 5.829 5.829 5.660 90.00 90.00 90.00
Fractional coordinates of all 5 atoms:
Sn (0.000, 0.000, 0.000)
H (0.500, 0.500, 0.000)
Pb (0.000, 0.500, 0.500)
Pb (0.500, 0.000, 0.500)
Br (0.000, 0.000, 0.500)

=====

# 9
Entry from Alexandria via LeMat-Bulk: a relaxed SrHPb2Br crystal (GGA-PBE).

Summary:
- electronic total energy (eV per atom) = -2.79
- density of states at the Fermi level (states/eV per cell) = 2.80
- SG = P4/mmm (123)

Lattice parameters (Å, degrees): 6.411 6.411 3.554 90.00 90.00 90.00
Fractional coordinates of all 5 atoms:
Sr (0.000, 0.000, 0.000)
H (0.500, 0.500, 0.000)
Pb (0.000, 0.500, 0.500)
Pb (0.500, 0.000, 0.500)
Br (0.500, 0.500, 0.500)

=====

# 10
Entry from Alexandria via LeMat-Bulk: a relaxed ZrTeHPbBr crystal (GGA-PBE).

Summary:
- electronic total energy (eV per atom) = -4.56
- SG = Cm (8)

Lattice parameters (Å, degrees): 10.327 3.818 8.093 90.00 118.88 90.00
Fractional coordinates of all 10 atoms:
Zr (0.000, 0.000, 0.000)
Zr (0.500, 0.500, 0.000)
Te (0.316, 0.000, 0.064)
Te (0.816, 0.500, 0.064)
H (0.132, 0.000, 0.269)
H (0.632, 0.500, 0.269)
Pb (0.129, 0.500, 0.388)
Pb (0.629, 0.000, 0.388)
Br (0.467, 0.000, 0.730)
Br (0.967, 0.500, 0.730)

=====

# 11
Entry from Alexandria via LeMat-Bulk: a relaxed ZrTeHPbBr crystal (GGA-PBE).

Summary:
- electronic total energy (eV per atom) = -4.74
- density of states at the Fermi level (states/eV per cell) = 2.16
- SG = P1 (1)

Lattice parameters (Å, degrees): 3.644 3.650 10.595 98.86 90.23 119.94
Fractional coordinates of all 5 atoms:
Zr (0.000, 0.000, 0.000)
Te (0.393, 0.782, 0.192)
H (0.667, 0.333, 0.999)
Pb (0.498, 0.979, 0.494)
Br (0.275, 0.554, 0.811)

=====

# 12
Entry from Alexandria via LeMat-Bulk: a relaxed ZrTeHPbBr crystal (GGA-PBE).

Summary:
- electronic total energy (eV per atom) = -4.73
- density of states at the Fermi level (states/eV per cell) = 2.02
- SG = P1 (1)

Lattice parameters (Å, degrees): 3.637 3.641 10.358 87.17 89.15 60.05
Fractional coordinates of all 5 atoms:
Zr (0.000, 0.000, 0.000)
Te (0.659, 0.698, 0.803)
H (0.333, 0.335, 0.997)
Pb (0.322, 0.369, 0.526)
Br (0.674, 0.636, 0.188)

=====

# 13
Entry from Alexandria via LeMat-Bulk: a relaxed ZrTeHPbBr crystal (GGA-PBE).

Summary:
- electronic total energy (eV per atom) = -4.50
- density of states at the Fermi level (states/eV per cell) = 1.72
- SG = P1 (1)

Lattice parameters (Å, degrees): 3.520 4.953 7.290 83.47 89.88 89.98
Fractional coordinates of all 5 atoms:
Zr (0.000, 0.000, 0.000)
Te (0.500, 0.509, 0.035)
H (0.501, 0.030, 0.846)
Pb (0.509, 0.392, 0.632)
Br (0.999, 0.967, 0.363)

=====

# 14
Entry from Alexandria via LeMat-Bulk: a relaxed ZrTeHPbBr crystal (GGA-PBE).

Summary:
- electronic total energy (eV per atom) = -4.63
- density of states at the Fermi level (states/eV per cell) = 0.20
- SG = P1 (1)

Lattice parameters (Å, degrees): 3.536 5.531 7.686 95.97 101.05 108.62
Fractional coordinates of all 5 atoms:
Zr (0.000, 0.000, 0.000)
Te (0.251, 0.553, 0.940)
H (0.492, 0.081, 0.883)
Pb (0.248, 0.794, 0.604)
Br (0.698, 0.161, 0.279)

=====

# 15
Entry from Alexandria via LeMat-Bulk: a relaxed ZrTeHPbBr crystal (GGA-PBE).

Summary:
- electronic total energy (eV per atom) = -4.56
- density of states at the Fermi level (states/eV per cell) = 8.08
- SG = Cm (8)

Lattice parameters (Å, degrees): 10.318 3.673 7.569 90.00 112.19 90.00
Fractional coordinates of all 10 atoms:
Zr (0.000, 0.000, 0.000)
Zr (0.500, 0.500, 0.000)
Te (0.198, 0.500, 0.949)
Te (0.698, 0.000, 0.949)
H (0.433, 0.000, 0.018)
H (0.933, 0.500, 0.018)
Pb (0.397, 0.000, 0.594)
Pb (0.897, 0.500, 0.594)
Br (0.068, 0.000, 0.374)
Br (0.568, 0.500, 0.374)

=====

# 16
Entry from Alexandria via LeMat-Bulk: a relaxed ZrTeHPbBr crystal (GGA-PBE).

Summary:
- electronic total energy (eV per atom) = -4.51
- density of states at the Fermi level (states/eV per cell) = 1.48
- SG = P1 (1)

Lattice parameters (Å, degrees): 3.915 5.965 6.806 107.54 90.49 106.39
Fractional coordinates of all 5 atoms:
Zr (0.000, 0.000, 0.000)
Te (0.572, 0.122, 0.326)
H (0.888, 0.238, 0.886)
Pb (0.612, 0.471, 0.057)
Br (0.357, 0.726, 0.726)

=====

# 17
Entry from Alexandria via LeMat-Bulk: a relaxed ZrTeHPbBr crystal (GGA-PBE).

Summary:
- electronic total energy (eV per atom) = -4.63
- density of states at the Fermi level (states/eV per cell) = 0.13
- SG = P1 (1)

Lattice parameters (Å, degrees): 3.541 5.550 7.438 101.03 90.17 108.60
Fractional coordinates of all 5 atoms:
Zr (0.000, 0.000, 0.000)
Te (0.277, 0.554, 0.946)
H (0.537, 0.075, 0.878)
Pb (0.384, 0.774, 0.598)
Br (0.589, 0.175, 0.284)

=====

# 18
Entry from Alexandria via LeMat-Bulk: a relaxed ZrTeHPbBr crystal (GGA-PBE).

Summary:
- electronic total energy (eV per atom) = -4.61
- SG = Cm (8)

Lattice parameters (Å, degrees): 10.350 3.755 6.943 90.00 103.43 90.00
Fractional coordinates of all 10 atoms:
Zr (0.000, 0.000, 0.000)
Zr (0.500, 0.500, 0.000)
Te (0.294, 0.000, 0.046)
Te (0.794, 0.500, 0.046)
H (0.055, 0.000, 0.290)
H (0.555, 0.500, 0.290)
Pb (0.188, 0.500, 0.351)
Pb (0.688, 0.000, 0.351)
Br (0.002, 0.500, 0.703)
Br (0.502, 0.000, 0.703)

=====

# 19
Entry from Alexandria via LeMat-Bulk: a relaxed ZrHPbBr crystal (GGA-PBE).

Summary:
- electronic total energy (eV per atom) = -4.71
- density of states at the Fermi level (states/eV per cell) = 1.21
- SG = P1 (1)

Lattice parameters (Å, degrees): 3.488 3.522 7.733 91.95 102.80 90.01
Fractional coordinates of all 4 atoms:
Zr (0.000, 0.000, 0.000)
H (0.953, 0.493, 0.902)
Pb (0.643, 0.521, 0.292)
Br (0.366, 0.980, 0.727)

=====

# 20
Entry from Alexandria via LeMat-Bulk: a relaxed ZrHPbBr crystal (GGA-PBE).

Summary:
- electronic total energy (eV per atom) = -4.67
- density of states at the Fermi level (states/eV per cell) = 1.45
- SG = P1 (1)

Lattice parameters (Å, degrees): 3.607 3.608 8.107 88.42 88.57 62.41
Fractional coordinates of all 4 atoms:
Zr (0.000, 0.000, 0.000)
H (0.007, 0.009, 0.766)
Pb (0.662, 0.665, 0.688)
Br (0.331, 0.329, 0.224)